No. 1
Compound: NaInPb
Source: Alexandria via LeMat-Bulk
Functional: PBE
Structure: optimized geometry

Computed properties:
The value obtained for the total energy is -2.695 eV/atom. The density of states at the Fermi level comes out at 4.3 states/eV per cell.

Cell: 9.406 5.427 6.744 Å, 90.00 90.16 90.00°
Space group C2/m (No. 12)
One atom of each set of equivalent atoms:
Na 0.001 0.000 0.253 [4 per cell]
In 0.167 0.500 0.519 [4 per cell]
Pb 0.167 0.500 0.018 [4 per cell]

No. 2
Compound: Na2In5Pb12
Source: Alexandria via LeMat-Bulk
Functional: PBE
Structure: optimized geometry

Computed properties:
The value obtained for the total energy is -3.197 eV/atom. The density of states at the Fermi level comes out at 18.0 states/eV per cell.

Cell: 23.153 10.018 5.128 Å, 90.00 102.70 90.00°
Space group C2/m (No. 12)
One atom of each set of equivalent atoms:
Na 0.000 0.247 0.000 [4 per cell]
In 0.000 0.000 0.500 [2 per cell]
In 0.197 0.000 0.696 [4 per cell]
In 0.202 0.500 0.703 [4 per cell]
Pb 0.093 0.500 0.094 [4 per cell]
Pb 0.095 0.263 0.597 [8 per cell]
Pb 0.098 0.000 0.099 [4 per cell]
Pb 0.198 0.256 0.199 [8 per cell]

No. 3
Compound: NaIn5Pb2
Source: Alexandria via LeMat-Bulk
Functional: PBE
Structure: optimized geometry

Computed properties:
The value obtained for the total energy is -2.838 eV/atom. The density of states at the Fermi level comes out at 5.0 states/eV per cell.

Cell: 7.093 14.218 4.431 Å, 90.00 90.00 90.00°
Space group Pbam (No. 55)
One atom of each set of equivalent atoms:
Na 0.000 0.000 0.000 [2 per cell]
In 0.000 0.500 0.000 [2 per cell]
In 0.005 0.248 0.000 [4 per cell]
In 0.244 0.628 0.500 [4 per cell]
Pb 0.246 0.373 0.500 [4 per cell]

No. 4
Compound: NaIn3Pb5
Source: Alexandria via LeMat-Bulk
Functional: PBE
Structure: optimized geometry

Computed properties:
The value obtained for the total energy is -3.113 eV/atom. The density of states at the Fermi level comes out at 8.6 states/eV per cell.

Cell: 9.5518 9.5518 6.7772 Å, 90.00 90.00 120.00°
Space group P6_3/mcm (No. 193)
One atom of each set of equivalent atoms:
Na 0.0000 0.0000 0.0000 [2 per cell]
In 0.0000 0.3401 0.2500 [6 per cell]
Pb 0.0000 0.3300 0.7500 [6 per cell]
Pb 0.3333 0.6667 0.0000 [4 per cell]

No. 5
Compound: Na6In5Pb
Source: Alexandria via LeMat-Bulk
Functional: PBE
Structure: optimized geometry

Computed properties:
The value obtained for the total energy is -2.205 eV/atom. The density of states at the Fermi level comes out at 13.3 states/eV per cell.

Cell: 11.036 13.995 4.650 Å, 90.00 114.62 90.00°
Space group C2/m (No. 12)
One atom of each set of equivalent atoms:
Na 0.248 0.000 0.248 [4 per cell]
Na 0.249 0.166 0.749 [8 per cell]
In 0.000 0.171 0.000 [4 per cell]
In 0.000 0.334 0.500 [4 per cell]
In 0.000 0.500 0.000 [2 per cell]
Pb 0.000 0.000 0.500 [2 per cell]

No. 6
Compound: NaIn12Pb16
Source: Alexandria via LeMat-Bulk
Functional: PBE
Structure: optimized geometry

Computed properties:
The value obtained for the total energy is -3.211 eV/atom. The density of states at the Fermi level comes out at 30.5 states/eV per cell.

Cell: 11.903 17.070 10.179 Å, 90.00 123.66 90.00°
Space group Cm (No. 8)
One atom of each set of equivalent atoms:
Na 0.000 0.000 0.000 [2 per cell]
In 0.176 0.313 0.087 [4 per cell]
In 0.270 0.407 0.655 [4 per cell]
In 0.312 0.000 0.092 [2 per cell]
In 0.362 0.316 0.464 [4 per cell]
In 0.405 0.094 0.901 [4 per cell]
In 0.459 0.408 0.276 [4 per cell]
In 0.488 0.000 0.461 [2 per cell]
Pb 0.017 0.342 0.680 [4 per cell]
Pb 0.018 0.335 0.282 [4 per cell]
Pb 0.120 0.154 0.869 [4 per cell]
Pb 0.178 0.500 0.271 [2 per cell]
Pb 0.189 0.500 0.942 [2 per cell]
Pb 0.190 0.204 0.586 [4 per cell]
Pb 0.231 0.141 0.277 [4 per cell]
Pb 0.261 0.000 0.551 [2 per cell]
Pb 0.384 0.295 0.967 [4 per cell]
Pb 0.499 0.500 0.607 [2 per cell]